Version a
! ZnRhIO2, relaxed, DFT PBE; values from VASP
! * space-group type: P4/mmm
! * ρ: 4.852 g cm⁻³
&SYSTEM
  ibrav = 0, nat = 5, ntyp = 4
/
ATOMIC_SPECIES
Zn 65.41 Zn.upf
Rh 102.91 Rh.upf
I 126.90 I.upf
O 16.00 O.upf
ATOMIC_POSITIONS crystal
Zn 0.000 0.000 0.000
Rh 0.500 0.500 0.500
I 0.500 0.500 0.000
O 0.000 0.500 0.500
O 0.500 0.000 0.500
CELL_PARAMETERS angstrom
3.834 0.000 0.000
0.000 3.834 0.000
0.000 0.000 7.619


Version b
! ZnRhIO2, relaxed, DFT PBE; values from VASP
! * space-group type: P4/mmm
! * ρ: 5.776 g cm⁻³
&SYSTEM
  ibrav = 0, nat = 5, ntyp = 4
/
ATOMIC_SPECIES
Zn 65.41 Zn.upf
Rh 102.91 Rh.upf
I 126.90 I.upf
O 16.00 O.upf
ATOMIC_POSITIONS crystal
Zn 0.000 0.000 0.000
Rh 0.500 0.500 0.500
I 0.000 0.000 0.500
O 0.000 0.500 0.000
O 0.500 0.000 0.000
CELL_PARAMETERS angstrom
3.825 0.000 0.000
0.000 3.825 0.000
0.000 0.000 6.429


Most stable one: version a, least stable one: version b.